# 1
Computed, not measured: a geometry-optimized YSiP2 structure at the PBE-GGA level of DFT.

Cell: 4.9010 4.9010 4.9010 Å, 126.64 126.64 78.83°
Fractional positions:
P (0.0000, 0.0000, 0.0000)
P (0.5000, 0.5000, 0.0000)
Si (0.2500, 0.7500, 0.5000)
Y (0.7500, 0.2500, 0.5000)

Space group: I4/mmm (139)
Density of states at the Fermi level, states/eV per cell: 0.91
Crystal system: tetragonal
DFT total energy, eV per atom: -5.864

***

# 2
Computed, not measured: a geometry-optimized LiPuTl structure at the PBE-GGA level of DFT.

Cell: 4.9145 4.9145 7.9690 Å, 72.04 72.04 60.00°
Each line ends with the local moment (μB).
Fractional positions:
Li (0.2941, 0.2941, 0.1176)  -0.02
Li (0.7059, 0.7059, 0.8824)  -0.02
Pu (0.1510, 0.1510, 0.5470)  5.47
Pu (0.8490, 0.8490, 0.4530)  5.47
Tl (0.4216, 0.4216, 0.7351)  -0.05
Tl (0.5784, 0.5784, 0.2649)  -0.05

Relative energy among the computed polymorphs, meV/atom: 169
Space group: R-3m (166)
Density of states at the Fermi level, states/eV per cell: 13.54
Crystal system: trigonal
DFT total energy, eV per atom: -6.127
DFT formation energy, meV/atom: 77.2

***

# 3
Computed, not measured: a geometry-optimized Dy4IrAu structure at the PBE-GGA level of DFT.

Cell: 4.7423 8.3871 15.6884 Å, 90.00 90.00 90.00°
Fractional positions:
Dy (0.7500, 0.8666, 0.6642)
Dy (0.2500, 0.1334, 0.3358)
Dy (0.2500, 0.6334, 0.1642)
Dy (0.7500, 0.3666, 0.8358)
Dy (0.7500, 0.8508, 0.4337)
Dy (0.2500, 0.1492, 0.5663)
Dy (0.2500, 0.6492, 0.9337)
Dy (0.7500, 0.3508, 0.0663)
Dy (0.7500, 0.9646, 0.9205)
Dy (0.2500, 0.0354, 0.0795)
Dy (0.2500, 0.5354, 0.4205)
Dy (0.7500, 0.4646, 0.5795)
Dy (0.7500, 0.9137, 0.2246)
Dy (0.2500, 0.0863, 0.7754)
Dy (0.2500, 0.5863, 0.7246)
Dy (0.7500, 0.4137, 0.2754)
Ir (0.7500, 0.6897, 0.8167)
Ir (0.2500, 0.3103, 0.1833)
Ir (0.2500, 0.8103, 0.3167)
Ir (0.7500, 0.1897, 0.6833)
Au (0.7500, 0.2351, 0.4390)
Au (0.2500, 0.7649, 0.5610)
Au (0.2500, 0.2649, 0.9390)
Au (0.7500, 0.7351, 0.0610)

Relative energy among the computed polymorphs, meV/atom: 0
Space group: Pnma (62)
Density of states at the Fermi level, states/eV per cell: 23.17
Crystal system: orthorhombic
DFT total energy, eV per atom: -5.723
DFT formation energy, meV/atom: -632.4

***

# 4
Computed, not measured: a geometry-optimized Na2LiZn2In5 structure at the PBE-GGA level of DFT.

Cell: 3.7150 11.3299 11.3299 Å, 90.00 90.00 90.00°
Fractional positions:
Na (0.0000, 0.6735, 0.1735)
Na (0.0000, 0.3265, 0.8265)
Na (0.0000, 0.1735, 0.3265)
Na (0.0000, 0.8265, 0.6735)
Li (0.0000, 0.0000, 0.0000)
Li (0.0000, 0.5000, 0.5000)
Zn (0.0000, 0.1342, 0.6342)
Zn (0.0000, 0.8658, 0.3658)
Zn (0.0000, 0.6342, 0.8658)
Zn (0.0000, 0.3658, 0.1342)
In (0.5000, 0.1930, 0.0611)
In (0.5000, 0.8070, 0.9389)
In (0.5000, 0.0611, 0.8070)
In (0.5000, 0.6930, 0.4389)
In (0.5000, 0.9389, 0.1930)
In (0.5000, 0.3070, 0.5611)
In (0.5000, 0.5611, 0.6930)
In (0.5000, 0.4389, 0.3070)
In (0.5000, 0.5000, 0.0000)
In (0.5000, 0.0000, 0.5000)

Space group: P4/mbm (127)
Density of states at the Fermi level, states/eV per cell: 7.75
Crystal system: tetragonal
DFT total energy, eV per atom: -2.158
DFT formation energy, meV/atom: -78.6